A relaxed Rb3Dy3GaS8 crystal. Source: the Alexandria database, functional PBE-GGA.

a b c (Å): 7.9176 7.9176 23.5995
angles (deg): 90.00 90.00 120.00
Closest atoms and distances in Å follow each position.
Space group R-3m (No. 166, hexagonal axes)
Unique sites:
Rb 0.0000 0.5000 0.0000 (multiplicity 9)  6 S 3.33-3.35
Dy 0.0000 0.5000 0.5000 (multiplicity 9)  6 S 2.74-2.76
Ga 0.0000 0.0000 0.5000 (multiplicity 3)  6 S 2.56
S 0.0000 0.0000 0.2308 (multiplicity 6)  3 Dy 2.74
S 0.0217 0.5109 0.2267 (multiplicity 18)  1 Ga 2.56, 2 Dy 2.76

Properties
- DOS(E_F) (states/eV/atom) = 1.007
- ΔE_f (raw) (eV/atom) = -1.47
- M_tot (μB per atom) = 0.000

A relaxed LaTm2Ru crystal. Source: the Alexandria database, functional PBE-GGA.

a b c (Å): 7.2768 9.2948 6.4153
angles (deg): 90.00 90.00 90.00
Closest atoms and distances in Å follow each position.
Space group Pnma (No. 62)
Unique sites:
La 0.0484 0.2500 0.1310 (multiplicity 4)  2 Ru 2.64-2.95
Tm 0.1731 0.0670 0.6658 (multiplicity 8)  2 Ru 2.86-2.91
Ru 0.1242 0.7500 0.4536 (multiplicity 4)  2 La 2.64-2.95, 4 Tm 2.86-2.91

Properties
- DOS(E_F) (states/eV/atom) = 1.120
- energy above the most stable polymorph in this dataset (meV/atom) = 0
- ΔE_f (kJ/mol of atoms) = -31.0
- M_tot (μB per atom) = 0.000

A relaxed Pm2GaFe2Ni5 crystal. Source: the Alexandria database, functional PBE-GGA.

a b c (Å): 9.0706 9.0706 3.7134
angles (deg): 90.00 90.00 90.00
Closest atoms and distances in Å follow each position.
Space group P4/mbm (No. 127)
Unique sites:
Pm 0.1839 0.3161 0.0000 (multiplicity 4)  3 Fe 2.59-2.78
Ga 0.0000 0.0000 0.0000 (multiplicity 2)  8 Ni 2.72
Fe 0.1143 0.6143 0.0000 (multiplicity 4)  6 Ni 2.37-2.50, 1 Pm 2.59
Ni 0.0000 0.5000 0.5000 (multiplicity 2)  4 Fe 2.37
Ni 0.0572 0.7889 0.5000 (multiplicity 8)  2 Fe 2.50, 1 Ni 2.67, 2 Ga 2.72

Properties
- DOS(E_F) (states/eV/atom) = 0.957
- ΔE_f (kJ/mol of atoms) = -10.6
- M_tot (μB per atom) = 0.582